Entry from Alexandria via LeMat-Bulk: LiCo3NiO8 after structural relaxation (GGA+U).

Output
The calculation puts the volume at 281 Å³ per cell. The relative energy among the computed polymorphs is 0.05 eV/f.u. The uncorrected energy is -5.46 eV per atom.

a b c (Å): 5.7157 9.8175 5.9868
angles (deg): 105.71 118.52 89.99
With the nearest neighbours (Å) after each atom.
Atoms (fractional coordinates):
O (0.1076, 0.8607, 0.1914)  2 Co 1.89, 1 Ni 1.93
O (0.6575, 0.3850, 0.8117)  2 Co 1.89-1.90, 1 Ni 1.91
O (0.4160, 0.6393, 0.8083)  2 Co 1.89, 1 Ni 1.93
O (0.1211, 0.3750, 0.7940)  2 Co 1.86-1.87
O (0.1728, 0.8750, 0.7938)  2 Co 1.86-1.87
O (0.3424, 0.6150, 0.1883)  2 Co 1.89-1.90, 1 Ni 1.91
O (0.8924, 0.1393, 0.8086)  2 Co 1.89, 1 Ni 1.93
O (0.6017, 0.8641, 0.1908)  3 Co 1.90-1.91
O (0.9108, 0.6358, 0.8090)  3 Co 1.90-1.91
O (0.8272, 0.1250, 0.2062)  2 Co 1.86-1.87
O (0.8789, 0.6250, 0.2060)  2 Co 1.86-1.87
O (0.0892, 0.3642, 0.1910)  3 Co 1.90-1.91
O (0.3461, 0.1150, 0.1886)  2 Co 1.89-1.90, 1 Ni 1.91
O (0.5840, 0.3607, 0.1917)  2 Co 1.89, 1 Ni 1.93
O (0.6539, 0.8850, 0.8114)  2 Co 1.89-1.90, 1 Ni 1.91
O (0.3983, 0.1359, 0.8092)  3 Co 1.90-1.91
Ni (0.5000, 0.5000, 0.0000)  6 O 1.91-2.09
Ni (0.0000, 0.0000, 0.0000)  6 O 1.91-2.09
Li (0.2505, 0.7503, 0.4999)  6 O 2.09-2.26
Li (0.7496, 0.2497, 0.5001)  6 O 2.09-2.26
Co (0.2574, 0.7495, 0.9956)  6 O 1.86-1.91
Co (0.7426, 0.2505, 0.0044)  6 O 1.86-1.91
Co (0.5000, 0.0000, 0.0000)  6 O 1.87-1.90
Co (0.7615, 0.7504, 0.0040)  6 O 1.86-1.91
Co (0.2385, 0.2496, 0.9960)  6 O 1.86-1.91
Co (0.0000, 0.5000, 0.0000)  6 O 1.87-1.90